# 1
A plane-wave DFT calculation with GGA-PBE was carried out for a relaxed Ca2Zn4CdIn3 crystal.

As for the crystal system: tetragonal.

The structure belongs to space group P-4m2 (No. 115); the cell edges are 4.4771, 4.4771 and 11.5714 Å and the angles 90.00°, 90.00° and 90.00°. Symmetry generates all atoms from Ca at (0.0000, 0.5000, 0.2459), Zn at (0.0000, 0.0000, 0.0000), Zn at (0.0000, 0.5000, 0.6395), Zn at (0.5000, 0.5000, 0.0000), Cd at (0.0000, 0.0000, 0.5000), In at (0.0000, 0.5000, 0.8660) and In at (0.5000, 0.5000, 0.5000).

=====

# 2
A plane-wave DFT calculation with GGA-PBE was carried out for a relaxed CaCd4Ir crystal.

As for the crystal system: cubic.

The structure belongs to space group F-43m (No. 216); the cell edges are 7.9701, 7.9701 and 7.9701 Å and the angles 90.00°, 90.00° and 90.00°. Symmetry generates all atoms from Ca at (0.0000, 0.0000, 0.0000), Cd at (0.1243, 0.1243, 0.6243) and Ir at (0.2500, 0.2500, 0.2500).

=====

no.,final energy (eV for the cell shown),calculated formation energy (eV/atom)
1,-20.32,-0.210
2,-57.16,0.039